1.
Crystalline Tc2RuAu at its relaxed geometry, computed with PBE.

Cell and atoms, written as POSCAR:
```
Tc2RuAu
1.0
4.795 -0.003 -0.009
1.580 4.527 0.009
-3.170 -2.287 2.777
Ru Tc Au
1 2 1
Cartesian
0.818 2.265 1.393 Ru
2.439 0.009 1.384 Tc
6.311 4.480 0.000 Tc
3.199 2.270 0.000 Au
```

Computed properties:
Space group   Imm2, No. 44
Energy above the most stable polymorph in this dataset   99 meV per atom

***

2.
Crystalline TcRu2Au at its relaxed geometry, computed with PBE.

Cell and atoms, written as POSCAR:
```
TcRu2Au
1.0
2.764 0.000 0.000
0.000 2.764 0.000
0.000 0.000 7.913
Ru Au Tc
2 1 1
Cartesian
0.000 0.000 0.159 Ru
0.000 0.000 3.798 Ru
1.382 1.382 5.934 Au
1.382 1.382 1.978 Tc
```

Computed properties:
Space group   P4/mmm, No. 123
Energy above the most stable polymorph in this dataset   58 meV per atom

***

3.
Crystalline Tc2RuAu at its relaxed geometry, computed with PBE.

Cell and atoms, written as POSCAR:
```
Tc2RuAu
1.0
2.703 0.000 0.000
-1.189 2.427 0.000
0.000 0.000 9.490
Au Tc Ru
1 2 1
Cartesian
0.000 0.000 4.750 Au
0.757 1.214 2.213 Tc
0.000 0.000 9.488 Tc
0.757 1.214 7.275 Ru
```

Computed properties:
Space group   Cmm2, No. 35
Energy above the most stable polymorph in this dataset   210 meV per atom

***

4.
Crystalline TcRu2Au at its relaxed geometry, computed with PBE.

Cell and atoms, written as POSCAR:
```
TcRu2Au
1.0
-1.495 -4.170 1.989
2.204 -0.865 4.240
-2.339 3.851 -1.811
Tc Au Ru
1 1 2
Cartesian
0.354 -2.518 3.115 Tc
-1.740 -1.418 1.647 Au
0.110 0.234 2.772 Ru
0.000 0.000 0.000 Ru
```

Computed properties:
Space group   I-4m2, No. 119
Energy above the most stable polymorph in this dataset   181 meV per atom

***

5.
Crystalline Tc2RuAu at its relaxed geometry, computed with PBE.

Cell and atoms, written as POSCAR:
```
Tc2RuAu
1.0
3.247 0.000 0.000
0.000 3.247 0.000
0.000 0.000 5.931
Au Ru Tc
1 1 2
Cartesian
0.000 0.000 2.956 Au
1.623 1.623 4.587 Ru
0.000 0.000 0.087 Tc
1.623 1.623 1.266 Tc
```

Computed properties:
Space group   P4mm, No. 99
Energy above the most stable polymorph in this dataset   225 meV per atom

***

6.
Crystalline Tc4RuAu at its relaxed geometry, computed with PBE.

Cell and atoms, written as POSCAR:
```
Tc4RuAu
1.0
3.975 0.367 3.175
-0.780 0.487 5.017
1.120 -3.859 3.141
Tc Ru Au
4 1 1
Cartesian
2.177 -3.048 5.819 Tc
3.597 -0.947 5.836 Tc
1.621 -1.129 4.258 Tc
1.233 -0.887 6.752 Tc
0.000 0.000 0.000 Ru
3.236 -2.254 8.500 Au
```

Computed properties:
VASP energy   -51.417 eV/cell
Space group   F-43m, No. 216

***

The total moment results, record by record, are as follows: 0.0, 0.0, 0.2, 0.0, 0.0, 0.0 μB/f.u..